Record 1
This record from Alexandria via LeMat-Bulk describes crystalline InGeRuRh at its relaxed geometry. The functional is PBE.

Output
As for the formation energy from the elements: -0.179 eV per atom.

Cell and atoms, written as CIF:
```
data_InGeRuRh
_chemical_formula_sum 'In4 Ge4 Ru4 Rh4'
_space_group_name_H-M_alt 'F -4 3 m'
_space_group_IT_number 216
_space_group_name_Hall 'F -4 2 3'
_cell_length_a 6.3011
_cell_length_b 6.3011
_cell_length_c 6.3011
_cell_angle_alpha 90.00
_cell_angle_beta 90.00
_cell_angle_gamma 90.00
loop_
_atom_site_label
_atom_site_type_symbol
_atom_site_fract_x
_atom_site_fract_y
_atom_site_fract_z
In1 In 0.0000 0.0000 0.0000
Ge1 Ge 0.0000 0.0000 0.5000
Ru1 Ru 0.2500 0.2500 0.7500
Rh1 Rh 0.2500 0.2500 0.2500
```

---

Record 2
This record from Alexandria via LeMat-Bulk describes crystalline In2Si2GeRh5 at its relaxed geometry. The functional is PBE.

Output
The value obtained for the total energy is -62.244 eV/f.u.

Cell and atoms, written as CIF:
```
data_In2Si2GeRh5
_chemical_formula_sum 'In4 Si4 Ge2 Rh10'
_space_group_name_H-M_alt 'P 4/m b m'
_space_group_IT_number 127
_space_group_name_Hall '-P 4 2ab'
_cell_length_a 9.6541
_cell_length_b 9.6541
_cell_length_c 3.3480
_cell_angle_alpha 90.00
_cell_angle_beta 90.00
_cell_angle_gamma 90.00
loop_
_atom_site_label
_atom_site_type_symbol
_atom_site_fract_x
_atom_site_fract_y
_atom_site_fract_z
In1 In 0.1707 0.3293 0.0000
Si1 Si 0.1302 0.6302 0.0000
Ge1 Ge 0.0000 0.0000 0.0000
Rh1 Rh 0.0000 0.5000 0.5000
Rh2 Rh 0.0806 0.7986 0.5000
```

---

Record 3
This record from Alexandria via LeMat-Bulk describes crystalline SmInGe2Rh5 at its relaxed geometry. The functional is PBE.

Output
As for the formation energy from the elements: -0.373 eV per atom.

Cell and atoms, written as CIF:
```
data_SmInGe2Rh5
_chemical_formula_sum 'Sm1 In1 Ge2 Rh5'
_space_group_name_H-M_alt 'P 4/m m m'
_space_group_IT_number 123
_space_group_name_Hall '-P 4 2'
_cell_length_a 4.6320
_cell_length_b 4.6320
_cell_length_c 7.4243
_cell_angle_alpha 90.00
_cell_angle_beta 90.00
_cell_angle_gamma 90.00
loop_
_atom_site_label
_atom_site_type_symbol
_atom_site_fract_x
_atom_site_fract_y
_atom_site_fract_z
Sm1 Sm 0.0000 0.0000 0.0000
In1 In 0.0000 0.0000 0.5000
Ge1 Ge 0.5000 0.5000 0.3311
Rh1 Rh 0.0000 0.5000 0.2672
Rh2 Rh 0.5000 0.5000 0.0000
```

---

Record 4
This record from Alexandria via LeMat-Bulk describes crystalline Sm2InGe4Rh3 at its relaxed geometry. The functional is PBE.

Output
As for the formation energy from the elements: -0.715 eV per atom.

Cell and atoms, written as CIF:
```
data_Sm2InGe4Rh3
_chemical_formula_sum 'Sm2 In1 Ge4 Rh3'
_space_group_name_H-M_alt 'P -4 m 2'
_space_group_IT_number 115
_cell_length_a 4.2810
_cell_length_b 4.2810
_cell_length_c 10.5277
_cell_angle_alpha 90.00
_cell_angle_beta 90.00
_cell_angle_gamma 90.00
loop_
_space_group_symop_operation_xyz
'x,y,z'
'y,-x,-z'
'-x,-y,z'
'-y,x,-z'
'-x,y,z'
'-y,-x,-z'
'x,-y,z'
'y,x,-z'
loop_
_atom_site_label
_atom_site_type_symbol
_atom_site_fract_x
_atom_site_fract_y
_atom_site_fract_z
Sm1 Sm 0.0000 0.5000 0.2337
In1 In 0.0000 0.0000 0.5000
Ge1 Ge 0.0000 0.0000 0.0000
Ge2 Ge 0.0000 0.5000 0.6547
Ge3 Ge 0.5000 0.5000 0.0000
Rh1 Rh 0.0000 0.5000 0.8829
Rh2 Rh 0.5000 0.5000 0.5000
```

---

Record 5
This record from Alexandria via LeMat-Bulk describes crystalline InSn2Ge2Rh5 at its relaxed geometry. The functional is PBE.

Output
As for the formation energy from the elements: -0.248 eV per atom.

Cell and atoms, written as CIF:
```
data_InSn2Ge2Rh5
_chemical_formula_sum 'In2 Sn4 Ge4 Rh10'
_space_group_name_H-M_alt 'P 4/m b m'
_space_group_IT_number 127
_space_group_name_Hall '-P 4 2ab'
_cell_length_a 9.9287
_cell_length_b 9.9287
_cell_length_c 3.4982
_cell_angle_alpha 90.00
_cell_angle_beta 90.00
_cell_angle_gamma 90.00
loop_
_atom_site_label
_atom_site_type_symbol
_atom_site_fract_x
_atom_site_fract_y
_atom_site_fract_z
In1 In 0.0000 0.0000 0.0000
Sn1 Sn 0.1730 0.3270 0.0000
Ge1 Ge 0.1273 0.6273 0.0000
Rh1 Rh 0.0000 0.5000 0.5000
Rh2 Rh 0.0946 0.8025 0.5000
```

---

Record 6
This record from Alexandria via LeMat-Bulk describes crystalline SrIn2GeRh2 at its relaxed geometry. The functional is PBE.

Output
As for the formation energy from the elements: -0.428 eV per atom.

Cell and atoms, written as CIF:
```
data_SrIn2GeRh2
_chemical_formula_sum 'Sr1 In2 Ge1 Rh2'
_space_group_name_H-M_alt 'P 4/m m m'
_space_group_IT_number 123
_space_group_name_Hall '-P 4 2'
_cell_length_a 4.7163
_cell_length_b 4.7163
_cell_length_c 6.1783
_cell_angle_alpha 90.00
_cell_angle_beta 90.00
_cell_angle_gamma 90.00
loop_
_atom_site_label
_atom_site_type_symbol
_atom_site_fract_x
_atom_site_fract_y
_atom_site_fract_z
Sr1 Sr 0.0000 0.0000 0.0000
In1 In 0.5000 0.5000 0.2427
Ge1 Ge 0.0000 0.0000 0.5000
Rh1 Rh 0.0000 0.5000 0.5000
```

---

Record 7
This record from Alexandria via LeMat-Bulk describes crystalline TbInGe2Rh5 at its relaxed geometry. The functional is PBE.

Output
As for the formation energy from the elements: -0.410 eV per atom.

Cell and atoms, written as CIF:
```
data_TbInGe2Rh5
_chemical_formula_sum 'Tb1 In1 Ge2 Rh5'
_space_group_name_H-M_alt 'P 4/m m m'
_space_group_IT_number 123
_space_group_name_Hall '-P 4 2'
_cell_length_a 4.2586
_cell_length_b 4.2586
_cell_length_c 8.6027
_cell_angle_alpha 90.00
_cell_angle_beta 90.00
_cell_angle_gamma 90.00
loop_
_atom_site_label
_atom_site_type_symbol
_atom_site_fract_x
_atom_site_fract_y
_atom_site_fract_z
Tb1 Tb 0.0000 0.0000 0.0000
In1 In 0.0000 0.0000 0.5000
Ge1 Ge 0.5000 0.5000 0.3596
Rh1 Rh 0.0000 0.5000 0.2342
Rh2 Rh 0.5000 0.5000 0.0000
```

---

Record 8
This record from Alexandria via LeMat-Bulk describes crystalline Tb2InGe2Rh5 at its relaxed geometry. The functional is PBE.

Output
As for the formation energy from the elements: -0.803 eV per atom.

Cell and atoms, written as CIF:
```
data_Tb2InGe2Rh5
_chemical_formula_sum 'Tb4 In2 Ge4 Rh10'
_space_group_name_H-M_alt 'P 4/m b m'
_space_group_IT_number 127
_space_group_name_Hall '-P 4 2ab'
_cell_length_a 9.8666
_cell_length_b 9.8666
_cell_length_c 3.6152
_cell_angle_alpha 90.00
_cell_angle_beta 90.00
_cell_angle_gamma 90.00
loop_
_atom_site_label
_atom_site_type_symbol
_atom_site_fract_x
_atom_site_fract_y
_atom_site_fract_z
Tb1 Tb 0.1748 0.3252 0.0000
In1 In 0.0000 0.0000 0.0000
Ge1 Ge 0.1230 0.6230 0.0000
Rh1 Rh 0.0000 0.5000 0.5000
Rh2 Rh 0.0686 0.7872 0.5000
```

---

Record 9
This record from Alexandria via LeMat-Bulk describes crystalline Tb4InGe4Rh at its relaxed geometry. The functional is PBE.

Output
As for the formation energy from the elements: -0.855 eV per atom.

Cell and atoms, written as CIF:
```
data_Tb4InGe4Rh
_chemical_formula_sum 'Tb16 In4 Ge16 Rh4'
_space_group_name_H-M_alt 'C 1 2/m 1'
_space_group_IT_number 12
_cell_length_a 20.4318
_cell_length_b 4.2762
_cell_length_c 10.3696
_cell_angle_alpha 90.00
_cell_angle_beta 105.06
_cell_angle_gamma 90.00
loop_
_space_group_symop_operation_xyz
'x,y,z'
'-x,-y,-z'
'-x,y,-z'
'x,-y,z'
'x+1/2,y+1/2,z'
'-x+1/2,-y+1/2,-z'
'-x+1/2,y+1/2,-z'
'x+1/2,-y+1/2,z'
loop_
_atom_site_label
_atom_site_type_symbol
_atom_site_fract_x
_atom_site_fract_y
_atom_site_fract_z
Tb1 Tb 0.0423 0.0000 0.2736
Tb2 Tb 0.1270 0.0000 0.6392
Tb3 Tb 0.1286 0.0000 0.9922
Tb4 Tb 0.2216 0.0000 0.3435
In1 In 0.0000 0.5000 0.0000
In2 In 0.0000 0.5000 0.5000
Ge1 Ge 0.0626 0.5000 0.7818
Ge2 Ge 0.1334 0.5000 0.1903
Ge3 Ge 0.1455 0.5000 0.4519
Ge4 Ge 0.1947 0.5000 0.8485
Rh1 Rh 0.2408 0.5000 0.1049
```

---

Record 10
This record from Alexandria via LeMat-Bulk describes crystalline In2GeTeRh at its relaxed geometry. The functional is PBE.

Output
The value obtained for the total energy is -21.430 eV/f.u.

Cell and atoms, written as CIF:
```
data_In2GeTeRh
_chemical_formula_sum 'In2 Ge1 Te1 Rh1'
_space_group_name_H-M_alt 'P 4/m m m'
_space_group_IT_number 123
_space_group_name_Hall '-P 4 2'
_cell_length_a 5.2617
_cell_length_b 5.2617
_cell_length_c 4.7013
_cell_angle_alpha 90.00
_cell_angle_beta 90.00
_cell_angle_gamma 90.00
loop_
_atom_site_label
_atom_site_type_symbol
_atom_site_fract_x
_atom_site_fract_y
_atom_site_fract_z
In1 In 0.0000 0.5000 0.0000
Ge1 Ge 0.0000 0.0000 0.5000
Te1 Te 0.5000 0.5000 0.5000
Rh1 Rh 0.0000 0.0000 0.0000
```

---

Record 11
This record from Alexandria via LeMat-Bulk describes crystalline Th2InGe3Rh4 at its relaxed geometry. The functional is PBE.

Output
As for the formation energy from the elements: -0.814 eV per atom.

Cell and atoms, written as CIF:
```
data_Th2InGe3Rh4
_chemical_formula_sum 'Th2 In1 Ge3 Rh4'
_space_group_name_H-M_alt 'P -4 m 2'
_space_group_IT_number 115
_cell_length_a 4.1668
_cell_length_b 4.1668
_cell_length_c 11.0867
_cell_angle_alpha 90.00
_cell_angle_beta 90.00
_cell_angle_gamma 90.00
loop_
_space_group_symop_operation_xyz
'x,y,z'
'y,-x,-z'
'-x,-y,z'
'-y,x,-z'
'-x,y,z'
'-y,-x,-z'
'x,-y,z'
'y,x,-z'
loop_
_atom_site_label
_atom_site_type_symbol
_atom_site_fract_x
_atom_site_fract_y
_atom_site_fract_z
Th1 Th 0.0000 0.5000 0.2457
In1 In 0.0000 0.0000 0.5000
Ge1 Ge 0.0000 0.5000 0.8780
Ge2 Ge 0.5000 0.5000 0.5000
Rh1 Rh 0.0000 0.0000 0.0000
Rh2 Rh 0.0000 0.5000 0.6596
Rh3 Rh 0.5000 0.5000 0.0000
```